[1]
{"formula": "Ac15La4Sm", "functional": "GGA-PBE", "state": "optimized geometry", "cell": [[-1.925, 4.271, 2.994], [-2.917, -3.527, 3.156], [21.587, -2.389, 17.285]], "species": ["Ac", "Ac", "Ac", "Ac", "Ac", "Ac", "Ac", "Ac", "Ac", "Ac", "Ac", "Ac", "Ac", "Ac", "Ac", "La", "La", "La", "La", "Sm"], "frac_coords": [[0.500, 0.500, 0.000], [0.500, 0.500, 0.199], [0.500, 0.500, 0.400], [0.500, 0.500, 0.600], [0.500, 0.500, 0.801], [0.500, 0.000, 0.099], [0.500, 0.000, 0.299], [0.500, 0.000, 0.500], [0.500, 0.000, 0.701], [0.500, 0.000, 0.901], [0.000, 0.500, 0.099], [0.000, 0.500, 0.299], [0.000, 0.500, 0.500], [0.000, 0.500, 0.701], [0.000, 0.500, 0.901], [0.000, 0.000, 0.199], [0.000, 0.000, 0.400], [0.000, 0.000, 0.600], [0.000, 0.000, 0.801], [0.000, 0.000, 0.000]], "e_tot_ev_per_atom": -4.28, "total_magnetization_mub_per_fu": 0.0, "sg": "P4/mmm", "delta_e_f_mev_per_atom": 24, "dos_ef_per_ev_fu": 41.6}

[2]
{"formula": "Ac5La12Sm", "functional": "GGA-PBE", "state": "optimized geometry", "cell": [[-6.738, -8.596, -3.465], [2.345, -5.594, -9.627], [4.719, -4.296, 1.485]], "species": ["Ac", "Ac", "Ac", "Ac", "Ac", "La", "La", "La", "La", "La", "La", "La", "La", "La", "La", "La", "La", "Sm"], "frac_coords": [[0.500, 0.000, 0.500], [0.165, 0.671, 0.491], [0.835, 0.329, 0.509], [0.667, 0.666, 0.004], [0.333, 0.334, 0.996], [0.833, 0.000, 0.500], [0.167, 0.000, 0.500], [0.675, 0.000, 0.000], [0.325, 0.000, 0.000], [0.334, 0.670, 0.996], [0.996, 0.670, 0.996], [0.004, 0.330, 0.004], [0.666, 0.330, 0.004], [0.504, 0.334, 0.497], [0.838, 0.666, 0.503], [0.162, 0.334, 0.497], [0.496, 0.666, 0.503], [0.000, 0.000, 0.000]], "e_tot_ev_per_atom": -4.67, "total_magnetization_mub_per_fu": 0.0, "sg": "C2/m", "delta_e_f_mev_per_atom": 22, "dos_ef_per_ev_fu": 36.7}